[1]
A plane-wave DFT calculation with GGA-PBE was carried out for an optimized crystal structure of CePr3Nd.

a = 9.1225 Å, b = 9.1225 Å, c = 9.7056 Å
α = 90.00°, β = 90.00°, γ = 118.57°
Last column: nearest neighbours and their distance in Å.
Fractional coordinates of all 20 atoms:
Pr 0.7325 0.9597 0.5783  4 Pr 3.25-3.56, 2 Ce 3.55
Pr 0.2675 0.0403 0.4217  4 Pr 3.25-3.56, 2 Ce 3.55
Pr 0.7325 0.9597 0.9217  4 Pr 3.25-3.56, 2 Ce 3.55
Pr 0.0403 0.2675 0.0783  4 Pr 3.25-3.56, 2 Ce 3.55
Pr 0.9597 0.7325 0.5783  4 Pr 3.25-3.56, 2 Ce 3.55
Pr 0.6709 0.3291 0.0000  4 Pr 3.43-3.75, 2 Ce 3.47, 2 Nd 3.63
Pr 0.3291 0.6709 0.5000  4 Pr 3.43-3.75, 2 Ce 3.47, 2 Nd 3.63
Pr 0.2675 0.0403 0.0783  4 Pr 3.25-3.56, 2 Ce 3.55
Pr 0.9597 0.7325 0.9217  4 Pr 3.25-3.56, 2 Ce 3.55
Pr 0.3291 0.6709 0.0000  4 Pr 3.43-3.75, 2 Ce 3.47, 2 Nd 3.63
Pr 0.0403 0.2675 0.4217  4 Pr 3.25-3.56, 2 Ce 3.55
Pr 0.6709 0.3291 0.5000  4 Pr 3.43-3.75, 2 Ce 3.47, 2 Nd 3.63
Ce 0.3923 0.9671 0.7500  1 Nd 3.34, 6 Pr 3.47-3.55
Ce 0.0329 0.6077 0.2500  1 Nd 3.34, 6 Pr 3.47-3.55
Ce 0.6077 0.0329 0.2500  1 Nd 3.34, 6 Pr 3.47-3.55
Ce 0.9671 0.3923 0.7500  1 Nd 3.34, 6 Pr 3.47-3.55
Nd 0.5379 0.5379 0.7500  1 Nd 3.53, 8 Pr 3.63-3.77
Nd 0.1592 0.1592 0.7500  2 Ce 3.34, 1 Nd 3.53, 4 Pr 3.65
Nd 0.8408 0.8408 0.2500  2 Ce 3.34, 1 Nd 3.53, 4 Pr 3.65
Nd 0.4621 0.4621 0.2500  1 Nd 3.53, 8 Pr 3.63-3.77

Results
Total energy (eV per atom): -4.788
Energy of formation (eV/atom): 0.22
Spin magnetization (μB per cell): 0.0


[2]
A plane-wave DFT calculation with GGA-PBE was carried out for an optimized crystal structure of MgSb2I8.

a = 8.8714 Å, b = 8.7732 Å, c = 8.9772 Å
α = 93.47°, β = 90.00°, γ = 120.37°
Last column: nearest neighbours and their distance in Å.
Fractional coordinates of all 11 atoms:
Mg 0.0000 0.0000 0.0000  6 I 2.89-3.00
I 0.1041 0.7471 0.8641  1 Sb 2.87, 1 Mg 3.00
I 0.6834 0.3669 0.5747  1 Sb 2.80
I 0.0867 0.1734 0.7235  1 Mg 2.89
I 0.3166 0.6331 0.4253  1 Sb 2.80
I 0.9133 0.8266 0.2765  1 Mg 2.89
I 0.6430 0.7471 0.8641  1 Sb 2.87, 1 Mg 3.00
I 0.8959 0.2529 0.1359  1 Sb 2.87, 1 Mg 3.00
I 0.3570 0.2529 0.1359  1 Sb 2.87, 1 Mg 3.00
Sb 0.1329 0.2657 0.3603  3 I 2.80-2.87
Sb 0.8671 0.7343 0.6397  3 I 2.80-2.87

Results
Total energy (eV per atom): -2.461
Uncorrected formation energy (meV/atom): -439
Spin magnetization (μB per cell): 0.0